Material: SmMgTi
Method: DFT, PBE
State: relaxed

```
data_SmMgTi
_chemical_formula_sum 'Sm2 Mg2 Ti2'
_symmetry_space_group_name_H-M 'P -6 m 2'
_symmetry_Int_Tables_number 187
_symmetry_space_group_name_Hall 'P -6 2'
_cell_length_a 3.2255
_cell_length_b 3.2255
_cell_length_c 16.1317
_cell_angle_alpha 90.00
_cell_angle_beta 90.00
_cell_angle_gamma 120.00
loop_
_atom_site_label
_atom_site_fract_x
_atom_site_fract_y
_atom_site_fract_z
Sm1 0.0000 0.0000 0.1884
Mg1 0.0000 0.0000 0.5000
Mg2 0.6667 0.3333 0.0000
Ti1 0.6667 0.3333 0.3449
```

## Properties
ΔE_f: 0.25 eV per atom
Calculated volume: 145.3 Å³ per cell
M_tot: 0.0 μB per cell

---

Material: ErFe2Ge2
Method: DFT, PBE
State: relaxed

```
data_ErFe2Ge2
_chemical_formula_sum 'Er2 Fe4 Ge4'
_symmetry_space_group_name_H-M 'I 4/m m m'
_symmetry_Int_Tables_number 139
_symmetry_space_group_name_Hall '-I 4 2'
_cell_length_a 3.947
_cell_length_b 3.947
_cell_length_c 10.197
_cell_angle_alpha 90.00
_cell_angle_beta 90.00
_cell_angle_gamma 90.00
loop_
_atom_site_label
_atom_site_fract_x
_atom_site_fract_y
_atom_site_fract_z
Er1 0.000 0.000 0.000
Fe1 0.000 0.500 0.250
Ge1 0.000 0.000 0.374
```

## Properties
ΔE_f: -0.45 eV per atom
Calculated volume: 158.8 Å³ per cell
M_tot: 3.7 μB per cell

---

For the records above, the corresponding E values read -4.487, -6.594 eV/atom.
For the records above, the corresponding DOS(E_F) values read 6.80, 10.05 states/eV/cell.